Entry 1:
! CrGa3Ni | Alexandria | PBE | relaxed; values from VASP
&SYSTEM
  ibrav = 0, nat = 5, ntyp = 3
/
ATOMIC_SPECIES
Ni 58.69 Ni.upf
Ga 69.72 Ga.upf
Cr 52.00 Cr.upf
CELL_PARAMETERS angstrom
4.518 0.000 0.000
0.000 4.518 0.000
0.000 0.000 4.518
ATOMIC_POSITIONS angstrom
Ni 0.000 0.000 0.000
Ga 0.000 2.259 0.000
Ga 0.000 0.000 2.259
Ga 2.259 0.000 0.000
Cr 2.259 2.259 2.259
! Total energy = -23.2 eV for the cell shown
! Energy above the lowest structure with this stoichiometry = 0.000 eV per atom
! Size of the total moment = 4.46 μB/f.u.
! Formation energy = 0.261 eV/atom



Entry 2:
! CrGa2Ni8 | Alexandria | PBE | relaxed; values from VASP
&SYSTEM
  ibrav = 0, nat = 11, ntyp = 3
/
ATOMIC_SPECIES
Cr 52.00 Cr.upf
Ga 69.72 Ga.upf
Ni 58.69 Ni.upf
CELL_PARAMETERS angstrom
3.745 0.212 -0.137
-0.398 5.723 -1.999
0.203 0.300 6.064
ATOMIC_POSITIONS angstrom
Cr 1.872 0.106 -0.068
Ga -0.175 3.709 0.995
Ga -0.020 2.313 3.070
Ni 3.506 5.916 2.220
Ni 3.659 4.535 4.274
Ni 1.741 4.153 2.664
Ni 1.933 1.697 4.076
Ni 1.617 4.538 -0.148
Ni 1.809 2.081 1.265
Ni -0.109 1.700 -0.346
Ni 0.044 0.318 1.708
! Total energy = -62.0 eV for the cell shown
! Size of the total moment = 0.00 μB/f.u.
! Formation energy = -0.007 eV/atom



Entry 3:
! Cr2GaNi9 | Alexandria | PBE | relaxed; values from VASP
&SYSTEM
  ibrav = 0, nat = 12, ntyp = 3
/
ATOMIC_SPECIES
Cr 52.00 Cr.upf
Ga 69.72 Ga.upf
Ni 58.69 Ni.upf
CELL_PARAMETERS angstrom
-2.757 1.999 -1.009
-2.239 -2.481 1.202
-0.084 4.726 9.596
ATOMIC_POSITIONS angstrom
Cr -0.028 1.572 3.192
Cr -0.056 3.154 6.403
Ga 0.000 0.000 0.000
Ni -2.498 -0.241 0.097
Ni -2.526 1.339 3.306
Ni -2.554 2.904 6.483
Ni -1.393 1.807 1.135
Ni -1.421 3.363 4.294
Ni -1.448 4.918 7.452
Ni -1.134 -0.433 2.240
Ni -1.161 1.122 5.399
Ni -1.189 2.678 8.558
! Total energy = -75.7 eV for the cell shown
! Size of the total moment = 3.47 μB/f.u.
! Formation energy = -0.112 eV/atom



Entry 4:
! CrGa2Ni | Alexandria | PBE | relaxed; values from VASP
&SYSTEM
  ibrav = 0, nat = 4, ntyp = 3
/
ATOMIC_SPECIES
Ni 58.69 Ni.upf
Ga 69.72 Ga.upf
Cr 52.00 Cr.upf
CELL_PARAMETERS angstrom
2.578 -3.335 0.467
1.050 -1.341 3.884
-1.531 -3.676 1.460
ATOMIC_POSITIONS angstrom
Ni 1.048 -4.176 2.906
Ga 0.524 -2.088 1.453
Ga 1.573 -6.263 4.358
Cr 0.000 0.000 0.000
! Total energy = -21.9 eV for the cell shown
! Size of the total moment = 3.07 μB/f.u.
! Formation energy = -0.104 eV/atom



Entry 5:
! CrGaNi2 | Alexandria | PBE | relaxed; values from VASP
&SYSTEM
  ibrav = 0, nat = 4, ntyp = 3
/
ATOMIC_SPECIES
Ni 58.69 Ni.upf
Ga 69.72 Ga.upf
Cr 52.00 Cr.upf
CELL_PARAMETERS angstrom
3.446 0.000 0.000
0.000 3.790 0.000
0.000 0.000 3.790
ATOMIC_POSITIONS angstrom
Ni 0.000 0.000 1.895
Ni 0.000 1.895 0.000
Ga 1.723 1.895 1.895
Cr 1.723 0.000 0.000
! Total energy = -24.7 eV for the cell shown
! Size of the total moment = 3.78 μB/f.u.
! Formation energy = -0.132 eV/atom



Entry 6:
! CrGaNiOs | Alexandria | PBE | relaxed; values from VASP
&SYSTEM
  ibrav = 0, nat = 4, ntyp = 4
/
ATOMIC_SPECIES
Ni 58.69 Ni.upf
Os 190.23 Os.upf
Ga 69.72 Ga.upf
Cr 52.00 Cr.upf
CELL_PARAMETERS angstrom
4.200 0.000 0.000
2.100 3.638 0.000
2.100 1.213 3.430
ATOMIC_POSITIONS angstrom
Ni 2.100 1.213 0.857
Os 6.300 3.638 2.572
Ga 4.200 2.425 1.715
Cr 0.000 0.000 0.000
! Total energy = -29.8 eV for the cell shown
! Size of the total moment = 2.33 μB/f.u.
! Formation energy = -0.031 eV/atom



Entry 7:
! CrGa2Ni7Pd2 | Alexandria | PBE | relaxed; values from VASP
&SYSTEM
  ibrav = 0, nat = 12, ntyp = 4
/
ATOMIC_SPECIES
Cr 52.00 Cr.upf
Ga 69.72 Ga.upf
Ni 58.69 Ni.upf
Pd 106.42 Pd.upf
CELL_PARAMETERS angstrom
-1.305 2.981 -0.795
-0.934 -1.203 -2.984
-13.362 -2.962 3.398
ATOMIC_POSITIONS angstrom
Cr 0.000 0.000 0.000
Ga -6.693 0.360 -1.822
Ga -8.908 -1.544 1.441
Ni -1.119 0.889 -1.889
Ni -6.762 -0.885 0.546
Ni -8.838 -0.299 -0.927
Ni -3.353 1.872 -1.584
Ni -3.168 -0.220 -2.679
Ni -12.433 -0.964 2.298
Ni -12.247 -3.057 1.204
Pd -11.113 -0.995 0.019
Pd -4.488 -0.189 -0.400
! Total energy = -66.9 eV for the cell shown
! Size of the total moment = 0.49 μB/f.u.
! Formation energy = -0.034 eV/atom



Entry 8:
! CrGa2NiPt | Alexandria | PBE | relaxed; values from VASP
&SYSTEM
  ibrav = 0, nat = 5, ntyp = 4
/
ATOMIC_SPECIES
Ni 58.69 Ni.upf
Ga 69.72 Ga.upf
Pt 195.08 Pt.upf
Cr 52.00 Cr.upf
CELL_PARAMETERS angstrom
-1.251 4.165 0.522
-4.331 -1.310 0.070
0.215 -0.480 4.349
ATOMIC_POSITIONS angstrom
Ni 0.000 0.000 0.000
Ga 0.108 -0.240 2.174
Ga -0.626 2.083 0.261
Pt -2.684 1.188 2.470
Cr -2.166 -0.655 0.035
! Total energy = -25.9 eV for the cell shown
! Size of the total moment = 3.55 μB/f.u.
! Formation energy = 0.328 eV/atom



Repeat the seventh record exactly.
! CrGa2Ni7Pd2 | Alexandria | PBE | relaxed; values from VASP
&SYSTEM
  ibrav = 0, nat = 12, ntyp = 4
/
ATOMIC_SPECIES
Cr 52.00 Cr.upf
Ga 69.72 Ga.upf
Ni 58.69 Ni.upf
Pd 106.42 Pd.upf
CELL_PARAMETERS angstrom
-1.305 2.981 -0.795
-0.934 -1.203 -2.984
-13.362 -2.962 3.398
ATOMIC_POSITIONS angstrom
Cr 0.000 0.000 0.000
Ga -6.693 0.360 -1.822
Ga -8.908 -1.544 1.441
Ni -1.119 0.889 -1.889
Ni -6.762 -0.885 0.546
Ni -8.838 -0.299 -0.927
Ni -3.353 1.872 -1.584
Ni -3.168 -0.220 -2.679
Ni -12.433 -0.964 2.298
Ni -12.247 -3.057 1.204
Pd -11.113 -0.995 0.019
Pd -4.488 -0.189 -0.400
! Total energy = -66.9 eV for the cell shown
! Size of the total moment = 0.49 μB/f.u.
! Formation energy = -0.034 eV/atom